Entry 1:
First-principles (PBE) data for LaPmAg2Se4 after structural relaxation, as listed in Alexandria via LeMat-Bulk.

Cell lengths 7.1091, 7.1790, 8.6545 Å; angles 90.00, 90.00, 90.00 degrees
With the nearest neighbours (Å) after each atom.
Space group I222 (No. 23)
Asymmetric unit:
La  0.0000  0.0000  0.0000 (multiplicity 2)  4 Se 2.98
Pm  0.0000  0.0000  0.5000 (multiplicity 2)  4 Se 2.86
Ag  0.0000  0.5000  0.1639 (multiplicity 4)  4 Se 2.61-2.85, 1 Ag 2.84
Se  0.2350  0.2506  0.3313 (multiplicity 8)  2 Ag 2.61-2.85, 1 Pm 2.86

Results
energy relative to the elements, uncorrected = -858 kJ/mol of formula units
DOS at the Fermi energy = 0.53 states/eV per cell
DFT total energy = -4.78 eV/atom


Entry 2:
First-principles (PBE) data for BaRhSe2 after structural relaxation, as listed in Alexandria via LeMat-Bulk.

Cell lengths 10.5170, 3.9033, 5.6782 Å; angles 90.00, 111.21, 90.00 degrees
With the nearest neighbours (Å) after each atom.
Space group Cm (No. 8)
Asymmetric unit:
Ba  0.0000  0.0000  0.0000 (multiplicity 2)  5 Se 3.21-3.44, 3 Rh 3.28-3.56
Rh  0.2339  0.0000  0.5707 (multiplicity 2)  4 Se 2.46-2.51
Se  0.1500  0.5000  0.7337 (multiplicity 2)  2 Rh 2.46
Se  0.3092  0.5000  0.3752 (multiplicity 2)  2 Rh 2.51

Results
energy relative to the elements, uncorrected = -347 kJ/mol of formula units
DOS at the Fermi energy = 5.37 states/eV per cell
DFT total energy = -4.96 eV/atom


Entry 3:
First-principles (PBE) data for Rb4TbU3S8 after structural relaxation, as listed in Alexandria via LeMat-Bulk.

Cell lengths 8.1626, 8.1626, 23.2108 Å; angles 90.00, 90.00, 120.00 degrees
With the nearest neighbours (Å) after each atom.
Space group R-3m (No. 166, hexagonal axes)
Asymmetric unit:
Rb  0.0000  0.0000  0.0000 (multiplicity 3)  6 S 3.34
Rb  0.0000  0.5000  0.0000 (multiplicity 9)  6 S 3.34-3.35
Tb  0.0000  0.0000  0.5000 (multiplicity 3)  6 S 2.79
U  0.0000  0.5000  0.5000 (multiplicity 9)  6 S 2.79
S  0.0000  0.0000  0.2309 (multiplicity 6)  3 U 2.79
S  0.9998  0.4999  0.2313 (multiplicity 18)  2 U 2.79, 1 Tb 2.79

Results
energy relative to the elements, uncorrected = -2264 kJ/mol of formula units
DOS at the Fermi energy = 43.95 states/eV per cell
DFT total energy = -6.18 eV/atom